[1]
This record from Alexandria via LeMat-Bulk describes an optimized crystal structure of BaPr2C2N6. The functional is PBE-GGA. Values from VASP.

Properties
As for the crystal system: triclinic. Its volume is 172 Å³/cell. For the total magnetic moment, the calculation gives 0.00 μB/f.u. As for the space group: P-1, No. 2. The formation energy from raw total energies is -50 kJ per mole of atoms.

```
&SYSTEM
  ibrav = 0, nat = 11, ntyp = 4
/
ATOMIC_SPECIES
Ba 137.33 Ba.upf
Pr 140.91 Pr.upf
C 12.01 C.upf
N 14.01 N.upf
CELL_PARAMETERS angstrom
5.314 0.000 0.000
-1.529 5.540 0.000
-0.925 -2.967 5.852
ATOMIC_POSITIONS crystal
Ba 0.000 0.000 0.000
Pr 0.262 0.391 0.661
Pr 0.738 0.609 0.339
C 0.265 0.724 0.270
C 0.735 0.276 0.730
N 0.180 0.934 0.364
N 0.234 0.538 0.354
N 0.372 0.698 0.091
N 0.628 0.302 0.909
N 0.766 0.462 0.646
N 0.820 0.066 0.636
```

=====

[2]
This record from Alexandria via LeMat-Bulk describes an optimized crystal structure of MnTlPCl2. The functional is PBE-GGA. Values from VASP.

Properties
As for the crystal system: tetragonal. Its volume is 122 Å³/cell. For the total magnetic moment, the calculation gives 2.98 μB/f.u. As for the space group: P4/mmm, No. 123. The formation energy from raw total energies is -34 kJ per mole of atoms.

```
&SYSTEM
  ibrav = 0, nat = 5, ntyp = 4
/
ATOMIC_SPECIES
Mn 54.94 Mn.upf
Tl 204.38 Tl.upf
P 30.97 P.upf
Cl 35.45 Cl.upf
CELL_PARAMETERS angstrom
5.150 0.000 0.000
0.000 5.150 0.000
0.000 0.000 4.593
ATOMIC_POSITIONS crystal
Mn 0.000 0.000 0.000
Tl 0.500 0.500 0.500
P 0.000 0.000 0.500
Cl 0.000 0.500 0.000
Cl 0.500 0.000 0.000
```

=====

[3]
This record from Alexandria via LeMat-Bulk describes an optimized crystal structure of BeAgN2F. The functional is PBE-GGA. Values from VASP.

Properties
As for the crystal system: tetragonal. Its volume is 70 Å³/cell. For the total magnetic moment, the calculation gives 1.93 μB/f.u. As for the space group: P4/mmm, No. 123. The formation energy from raw total energies is 161 kJ per mole of atoms.

```
&SYSTEM
  ibrav = 0, nat = 5, ntyp = 4
/
ATOMIC_SPECIES
Be 9.01 Be.upf
Ag 107.87 Ag.upf
N 14.01 N.upf
F 19.00 F.upf
CELL_PARAMETERS angstrom
4.061 0.000 0.000
0.000 4.061 0.000
0.000 0.000 4.235
ATOMIC_POSITIONS crystal
Be 0.000 0.000 0.000
Ag 0.500 0.500 0.500
N 0.000 0.500 0.500
N 0.500 0.000 0.500
F 0.500 0.500 0.000
```

=====

[4]
This record from Alexandria via LeMat-Bulk describes an optimized crystal structure of Ca2CdGa3Cu4. The functional is PBE-GGA. Values from VASP.

Properties
As for the crystal system: tetragonal. Its volume is 187 Å³/cell. For the total magnetic moment, the calculation gives 0.00 μB/f.u. As for the space group: P-4m2, No. 115. Its formation enthalpy at 0 K is -0.26 eV per atom.

```
&SYSTEM
  ibrav = 0, nat = 10, ntyp = 4
/
ATOMIC_SPECIES
Ca 40.08 Ca.upf
Cd 112.41 Cd.upf
Ga 69.72 Ga.upf
Cu 63.55 Cu.upf
CELL_PARAMETERS angstrom
4.107 0.000 0.000
0.000 4.107 0.000
0.000 0.000 11.115
ATOMIC_POSITIONS crystal
Ca 0.000 0.500 0.241
Ca 0.500 0.000 0.759
Cd 0.000 0.000 0.500
Ga 0.000 0.500 0.872
Ga 0.500 0.000 0.128
Ga 0.500 0.500 0.500
Cu 0.000 0.000 0.000
Cu 0.000 0.500 0.652
Cu 0.500 0.000 0.348
Cu 0.500 0.500 0.000
```

=====

[5]
This record from Alexandria via LeMat-Bulk describes an optimized crystal structure of YSbTe2N. The functional is PBE-GGA. Values from VASP.

Properties
As for the crystal system: tetragonal. Its volume is 113 Å³/cell. For the total magnetic moment, the calculation gives 0.00 μB/f.u. As for the space group: P4/mmm, No. 123. The formation energy from raw total energies is 1 kJ per mole of atoms.

```
&SYSTEM
  ibrav = 0, nat = 5, ntyp = 4
/
ATOMIC_SPECIES
Y 88.91 Y.upf
Sb 121.76 Sb.upf
Te 127.60 Te.upf
N 14.01 N.upf
CELL_PARAMETERS angstrom
4.840 0.000 0.000
0.000 4.840 0.000
0.000 0.000 4.839
ATOMIC_POSITIONS crystal
Y 0.000 0.000 0.000
Sb 0.500 0.500 0.000
Te 0.000 0.500 0.500
Te 0.500 0.000 0.500
N 0.500 0.500 0.500
```

=====

[6]
This record from Alexandria via LeMat-Bulk describes an optimized crystal structure of La3PrGa4. The functional is PBE-GGA. Values from VASP.

Properties
As for the crystal system: orthorhombic. Its volume is 234 Å³/cell. For the total magnetic moment, the calculation gives 0.00 μB/f.u. As for the space group: Immm, No. 71. Its formation enthalpy at 0 K is -0.42 eV per atom.

```
&SYSTEM
  ibrav = 0, nat = 8, ntyp = 3
/
ATOMIC_SPECIES
La 138.91 La.upf
Pr 140.91 Pr.upf
Ga 69.72 Ga.upf
CELL_PARAMETERS angstrom
-1.887 3.503 8.849
1.887 -3.503 8.849
1.887 3.503 -8.849
ATOMIC_POSITIONS crystal
La 0.000 0.000 0.000
La 0.296 0.796 0.500
La 0.704 0.204 0.500
Pr 0.500 0.500 0.000
Ga 0.061 0.371 0.689
Ga 0.318 0.629 0.689
Ga 0.682 0.371 0.311
Ga 0.939 0.629 0.311
```

=====

[7]
This record from Alexandria via LeMat-Bulk describes an optimized crystal structure of NdPuAlPb. The functional is PBE-GGA. Values from VASP.

Properties
As for the crystal system: cubic. Its volume is 110 Å³/cell. For the total magnetic moment, the calculation gives 5.89 μB/f.u. As for the space group: F-43m, No. 216. Its formation enthalpy at 0 K is -0.17 eV per atom.

```
&SYSTEM
  ibrav = 0, nat = 4, ntyp = 4
/
ATOMIC_SPECIES
Nd 144.24 Nd.upf
Pu 244.00 Pu.upf
Al 26.98 Al.upf
Pb 207.20 Pb.upf
CELL_PARAMETERS angstrom
0.000 3.801 3.801
3.801 0.000 3.801
3.801 3.801 0.000
ATOMIC_POSITIONS crystal
Nd 0.000 0.000 0.000
Pu 0.500 0.500 0.500
Al 0.250 0.250 0.250
Pb 0.750 0.750 0.750
```

=====

[8]
This record from Alexandria via LeMat-Bulk describes an optimized crystal structure of ScReAg2. The functional is PBE-GGA. Values from VASP.

Properties
As for the crystal system: orthorhombic. Its volume is 69 Å³/cell. For the total magnetic moment, the calculation gives 0.00 μB/f.u. As for the space group: Pmmm, No. 47. Its formation enthalpy at 0 K is 0.34 eV per atom.

```
&SYSTEM
  ibrav = 0, nat = 4, ntyp = 3
/
ATOMIC_SPECIES
Sc 44.96 Sc.upf
Re 186.21 Re.upf
Ag 107.87 Ag.upf
CELL_PARAMETERS angstrom
2.794 0.000 0.000
0.000 4.472 0.000
0.000 0.000 5.545
ATOMIC_POSITIONS crystal
Sc 0.000 0.000 0.000
Re 0.000 0.000 0.500
Ag 0.500 0.500 0.258
Ag 0.500 0.500 0.742
```

=====

[9]
This record from Alexandria via LeMat-Bulk describes an optimized crystal structure of Tm2ZnOs. The functional is PBE-GGA. Values from VASP.

Properties
As for the crystal system: cubic. Its volume is 80 Å³/cell. For the total magnetic moment, the calculation gives 0.00 μB/f.u. As for the space group: Fm-3m, No. 225. Its formation enthalpy at 0 K is -0.34 eV per atom.

```
&SYSTEM
  ibrav = 0, nat = 4, ntyp = 3
/
ATOMIC_SPECIES
Tm 168.93 Tm.upf
Zn 65.41 Zn.upf
Os 190.23 Os.upf
CELL_PARAMETERS angstrom
0.000 3.422 3.422
3.422 0.000 3.422
3.422 3.422 0.000
ATOMIC_POSITIONS crystal
Tm 0.250 0.250 0.250
Tm 0.750 0.750 0.750
Zn 0.000 0.000 0.000
Os 0.500 0.500 0.500
```

=====

[10]
This record from Alexandria via LeMat-Bulk describes an optimized crystal structure of CaSiNi2. The functional is PBE-GGA. Values from VASP.

Properties
As for the crystal system: tetragonal. Its volume is 60 Å³/cell. For the total magnetic moment, the calculation gives 0.00 μB/f.u. As for the space group: I-4m2, No. 119. The formation energy from raw total energies is 1 kJ per mole of atoms.

```
&SYSTEM
  ibrav = 0, nat = 4, ntyp = 3
/
ATOMIC_SPECIES
Ca 40.08 Ca.upf
Si 28.09 Si.upf
Ni 58.69 Ni.upf
CELL_PARAMETERS angstrom
-1.907 1.907 4.136
1.907 -1.907 4.136
1.907 1.907 -4.136
ATOMIC_POSITIONS crystal
Ca 0.000 0.000 0.000
Si 0.750 0.250 0.500
Ni 0.250 0.750 0.500
Ni 0.500 0.500 0.000
```

=====

[11]
This record from Alexandria via LeMat-Bulk describes an optimized crystal structure of MnInSi2. The functional is PBE-GGA. Values from VASP.

Properties
As for the crystal system: tetragonal. Its volume is 149 Å³/cell. For the total magnetic moment, the calculation gives 3.00 μB/f.u. As for the space group: I-42d, No. 122. The formation energy from raw total energies is 27 kJ per mole of atoms.

```
&SYSTEM
  ibrav = 0, nat = 8, ntyp = 3
/
ATOMIC_SPECIES
Mn 54.94 Mn.upf
In 114.82 In.upf
Si 28.09 Si.upf
CELL_PARAMETERS angstrom
-2.135 2.135 8.190
2.135 -2.135 8.190
2.135 2.135 -8.190
ATOMIC_POSITIONS crystal
Mn 0.000 0.000 0.000
Mn 0.750 0.250 0.500
In 0.250 0.750 0.500
In 0.500 0.500 0.000
Si 0.020 0.625 0.895
Si 0.375 0.270 0.395
Si 0.730 0.125 0.105
Si 0.875 0.980 0.605
```

=====

[12]
This record from Alexandria via LeMat-Bulk describes an optimized crystal structure of Ac4Tb9Nd11. The functional is PBE-GGA. Values from VASP.

Properties
As for the crystal system: orthorhombic. Its volume is 853 Å³/cell. For the total magnetic moment, the calculation gives 0.00 μB/f.u. As for the space group: Cmmm, No. 65. Its formation enthalpy at 0 K is 0.07 eV per atom.

```
&SYSTEM
  ibrav = 0, nat = 24, ntyp = 3
/
ATOMIC_SPECIES
Ac 227.00 Ac.upf
Tb 158.93 Tb.upf
Nd 144.24 Nd.upf
CELL_PARAMETERS angstrom
10.594 -10.995 0.000
10.594 10.995 0.000
0.000 0.000 3.663
ATOMIC_POSITIONS crystal
Ac 0.049 0.221 0.000
Ac 0.221 0.049 0.000
Ac 0.779 0.951 0.000
Ac 0.951 0.779 0.000
Tb 0.000 0.000 0.000
Tb 0.127 0.627 0.000
Tb 0.295 0.466 0.000
Tb 0.373 0.873 0.000
Tb 0.466 0.295 0.000
Tb 0.534 0.705 0.000
Tb 0.627 0.127 0.000
Tb 0.705 0.534 0.000
Tb 0.873 0.373 0.000
Nd 0.088 0.427 0.500
Nd 0.162 0.838 0.500
Nd 0.264 0.264 0.500
Nd 0.332 0.668 0.500
Nd 0.427 0.088 0.500
Nd 0.500 0.500 0.500
Nd 0.573 0.912 0.500
Nd 0.668 0.332 0.500
Nd 0.736 0.736 0.500
Nd 0.838 0.162 0.500
Nd 0.912 0.573 0.500
```